1.
## ZrAl2Pb (PBE)

Data for crystalline ZrAl2Pb at its relaxed geometry.

The structure in POSCAR format:
```
ZrAl2Pb
1.0
4.9074 0.0000 0.0000
0.0000 3.0355 -0.0107
0.0000 0.0184 5.6864
Al Zr Pb
2 1 1
Cartesian
2.4537 0.7637 1.2848
0.0000 0.7769 5.6342
2.4537 2.2896 4.4193
0.0000 0.7691 2.8616
```

Computed properties:
The crystal system is orthorhombic. The energy of formation is -0.07 eV per atom.



2.
## SrMg2InHg2 (PBE)

Data for crystalline SrMg2InHg2 at its relaxed geometry.

The structure in POSCAR format:
```
SrMg2InHg2
1.0
-0.3522 4.5462 2.0407
-3.3241 -1.4624 -3.4306
-4.2281 -2.6792 5.2389
Mg Sr Hg In
2 1 2 1
Cartesian
-5.1502 -1.2444 1.8834
-2.7541 1.6491 1.9657
0.0000 0.0000 0.0000
-3.3256 -0.0882 -0.3775
-4.5788 0.4928 4.2266
-2.1141 -1.3396 2.6195
```

Computed properties:
The crystal system is trigonal. The energy of formation is -0.32 eV per atom.



3.
## Sc2ZnGaPd (PBE)

Data for crystalline Sc2ZnGaPd at its relaxed geometry.

The structure in POSCAR format:
```
Sc2ZnGaPd
1.0
5.0655 0.0000 0.0000
0.0000 4.4189 0.0000
0.0000 0.0000 5.0655
Ga Pd Zn Sc
1 1 1 2
Cartesian
0.0000 0.0000 0.0000
2.5328 2.2095 2.5328
0.0000 2.2095 0.0000
2.5328 0.0000 0.0000
0.0000 0.0000 2.5328
```

Computed properties:
The crystal system is tetragonal. The energy of formation is 0.16 eV per atom.



| no. | VASP energy (eV/atom) |
| --- | --- |
| 1 | -5.002 |
| 2 | -1.688 |
| 3 | -4.272 |